Compound: Sr3PaCr2O9
Source: Alexandria
Functional: GGA+U
Structure: optimized geometry

Unit cell a=5.6980 b=5.6980 c=7.2197 alpha=90.00 beta=90.00 gamma=120.00
Closest atoms and distances in Å follow each position.
Element x y z (fractional)
Sr  0.0000  0.0000  0.0000  12 O 2.85
Sr  0.3333  0.6667  0.7146  9 O 2.64-2.86
Sr  0.6667  0.3333  0.2854  9 O 2.64-2.86
Pa  0.0000  0.0000  0.5000  6 O 2.15
Cr  0.3333  0.6667  0.1556  6 O 1.97-1.99
Cr  0.6667  0.3333  0.8444  6 O 1.97-1.99
O  0.0000  0.5000  0.0000  2 Cr 1.99
O  0.1723  0.3445  0.3171  1 Cr 1.97, 1 Pa 2.15
O  0.1723  0.8277  0.3171  1 Cr 1.97, 1 Pa 2.15
O  0.3445  0.1723  0.6829  1 Cr 1.97, 1 Pa 2.15
O  0.5000  0.0000  0.0000  2 Cr 1.99
O  0.5000  0.5000  0.0000  2 Cr 1.99
O  0.6555  0.8277  0.3171  1 Cr 1.97, 1 Pa 2.15
O  0.8277  0.1723  0.6829  1 Cr 1.97, 1 Pa 2.15
O  0.8277  0.6555  0.6829  1 Cr 1.97, 1 Pa 2.15

Output
The value obtained for the uncorrected energy is -114.3 eV per cell. Its total moment is 5.00 Bohr magnetons per cell. As for the space group: P-3m1, No. 164. The volume comes out at 13.53 Å³/atom.